[1]
Material: BaBe2FeP
Method: DFT, GGA-PBE
State: optimized geometry

Cell lengths 4.4423, 4.4423, 4.2715 Å; angles 90.00, 90.00, 90.00 degrees
Sites, in units of the cell vectors:
Ba  0.0000  0.0000  0.0000
Be  0.0000  0.5000  0.5000
Be  0.5000  0.0000  0.5000
Fe  0.5000  0.5000  0.5000
P  0.5000  0.5000  0.0000

Properties
* E_form: -30 meV per atom
* magnetization: 0.000 μB per atom
* space group: P4/mmm (123)



[2]
Material: SrLi3Bi2
Method: DFT, GGA-PBE
State: optimized geometry

Cell lengths 8.9246, 8.9246, 8.5643 Å; angles 115.34, 115.34, 31.16 degrees
Sites, in units of the cell vectors:
Sr  0.1439  0.1439  0.0665
Sr  0.8561  0.8561  0.9335
Li  0.0331  0.0331  0.3692
Li  0.3069  0.3069  0.5282
Li  0.3910  0.3910  0.3004
Li  0.6090  0.6090  0.6996
Li  0.6931  0.6931  0.4718
Li  0.9669  0.9669  0.6308
Bi  0.1912  0.1912  0.6937
Bi  0.4763  0.4763  0.8060
Bi  0.5237  0.5237  0.1940
Bi  0.8088  0.8088  0.3063

Properties
* E_form: -613 meV per atom
* magnetization: 0.000 μB per atom
* space group: C2/m (12)



[3]
Material: Ba2Cd15Hg2
Method: DFT, GGA-PBE
State: optimized geometry

Cell lengths 7.8864, 7.8864, 7.8864 Å; angles 83.14, 83.14, 83.14 degrees
Sites, in units of the cell vectors:
Ba  0.1652  0.1652  0.1652
Ba  0.8348  0.8348  0.8348
Cd  0.0000  0.5000  0.5000
Cd  0.1453  0.1453  0.6624
Cd  0.1453  0.6624  0.1453
Cd  0.2035  0.5000  0.7965
Cd  0.2035  0.7965  0.5000
Cd  0.3376  0.8547  0.8547
Cd  0.5000  0.0000  0.5000
Cd  0.5000  0.2035  0.7965
Cd  0.5000  0.5000  0.0000
Cd  0.5000  0.7965  0.2035
Cd  0.6624  0.1453  0.1453
Cd  0.7965  0.2035  0.5000
Cd  0.7965  0.5000  0.2035
Cd  0.8547  0.3376  0.8547
Cd  0.8547  0.8547  0.3376
Hg  0.3978  0.3978  0.3978
Hg  0.6022  0.6022  0.6022

Properties
* E_form: -190 meV per atom
* magnetization: 0.000 μB per atom
* space group: R-3m (166)



[4]
Material: Th4RuSe3
Method: DFT, GGA-PBE
State: optimized geometry

Cell lengths 7.4188, 8.4795, 7.1925 Å; angles 90.00, 108.92, 90.00 degrees
Sites, in units of the cell vectors:
Th  0.2243  0.1149  0.0080
Th  0.2243  0.8851  0.5080
Th  0.2370  0.3675  0.4884
Th  0.2370  0.6325  0.9884
Th  0.7630  0.3675  0.0116
Th  0.7630  0.6325  0.5116
Th  0.7757  0.1149  0.4920
Th  0.7757  0.8851  0.9920
Ru  0.0000  0.1260  0.2500
Ru  0.0000  0.8740  0.7500
Se  0.0000  0.3730  0.7500
Se  0.0000  0.6270  0.2500
Se  0.5000  0.1291  0.7500
Se  0.5000  0.3775  0.2500
Se  0.5000  0.6225  0.7500
Se  0.5000  0.8709  0.2500

Properties
* E_form (uncorrected): -1.307 eV/atom
* magnetization: 0.000 μB per atom
* space group: P2/c (13)



[5]
Material: BaTlAg2
Method: DFT, GGA-PBE
State: optimized geometry

Cell lengths 5.0271, 5.0271, 6.2436 Å; angles 114.03, 114.03, 60.06 degrees
Sites, in units of the cell vectors:
Ba  0.0000  0.0000  0.0000
Tl  0.5000  0.5000  0.5000
Ag  0.2046  0.2046  0.6135
Ag  0.7954  0.7954  0.3865

Properties
* E_form: -163 meV per atom
* magnetization: 0.000 μB per atom
* space group: C2/m (12)



[6]
Material: MgPH13O9
Method: DFT, GGA-PBE
State: optimized geometry

Cell lengths 5.9665, 5.9665, 5.9665 Å; angles 95.88, 95.88, 95.88 degrees
Sites, in units of the cell vectors:
Mg  0.0000  0.0000  0.0000
P  0.5210  0.5210  0.5210
H  0.0499  0.4579  0.9742
H  0.2013  0.8200  0.6254
H  0.2663  0.3710  0.8671
H  0.3680  0.3680  0.3680
H  0.3710  0.8671  0.2663
H  0.4579  0.9742  0.0499
H  0.5898  0.9402  0.7277
H  0.6254  0.2013  0.8200
H  0.7277  0.5898  0.9402
H  0.8200  0.6254  0.2013
H  0.8671  0.2663  0.3710
H  0.9402  0.7277  0.5898
H  0.9742  0.0499  0.4579
O  0.0490  0.8612  0.6636
O  0.1228  0.3209  0.9286
O  0.3209  0.9286  0.1228
O  0.4377  0.7583  0.5209
O  0.5209  0.4377  0.7583
O  0.6636  0.0490  0.8612
O  0.7583  0.5209  0.4377
O  0.8612  0.6636  0.0490
O  0.9286  0.1228  0.3209

Properties
* magnetization: 0.000 μB per atom
* space group: R3 (146)



[7]
Material: Nd4B3C5
Method: DFT, GGA-PBE
State: optimized geometry

Cell lengths 5.5789, 5.5789, 9.1561 Å; angles 107.93, 107.93, 40.76 degrees
Sites, in units of the cell vectors:
Nd  0.1042  0.1042  0.3907
Nd  0.2564  0.2564  0.8413
Nd  0.7436  0.7436  0.1587
Nd  0.8958  0.8958  0.6093
B  0.0000  0.0000  0.0000
B  0.4571  0.4571  0.1383
B  0.5429  0.5429  0.8617
C  0.3399  0.3399  0.3724
C  0.4165  0.4165  0.2748
C  0.5000  0.5000  0.0000
C  0.5835  0.5835  0.7252
C  0.6601  0.6601  0.6276

Properties
* E_form: 81 meV per atom
* magnetization: 0.000 μB per atom
* space group: C2/m (12)



[8]
Material: Pm12SmHo3
Method: DFT, GGA-PBE
State: optimized geometry

Cell lengths 5.1268, 5.1268, 20.4669 Å; angles 90.00, 90.00, 90.00 degrees
Sites, in units of the cell vectors:
Pm  0.0000  0.0000  0.0000
Pm  0.0000  0.0000  0.2488
Pm  0.0000  0.0000  0.5000
Pm  0.0000  0.0000  0.7512
Pm  0.0000  0.5000  0.1246
Pm  0.0000  0.5000  0.3738
Pm  0.0000  0.5000  0.6262
Pm  0.0000  0.5000  0.8754
Pm  0.5000  0.0000  0.1246
Pm  0.5000  0.0000  0.3738
Pm  0.5000  0.0000  0.6262
Pm  0.5000  0.0000  0.8754
Sm  0.5000  0.5000  0.5000
Ho  0.5000  0.5000  0.0000
Ho  0.5000  0.5000  0.2491
Ho  0.5000  0.5000  0.7509

Properties
* E_form: 15 meV per atom
* magnetization: 0.000 μB per atom
* space group: P4/mmm (123)



[9]
Material: CoCI3
Method: DFT, GGA-PBE
State: optimized geometry

Cell lengths 5.0521, 5.0521, 5.0521 Å; angles 90.00, 90.00, 90.00 degrees
Sites, in units of the cell vectors:
Co  0.0000  0.0000  0.0000
C  0.5000  0.5000  0.5000
I  0.0000  0.5000  0.5000
I  0.5000  0.0000  0.5000
I  0.5000  0.5000  0.0000

Properties
* E_form (uncorrected): 1.602 eV/atom
* magnetization: 0.450 μB per atom
* space group: Pm-3m (221)



[10]
Material: GeBiAs2Br
Method: DFT, GGA-PBE
State: optimized geometry

Cell lengths 5.4957, 5.4957, 5.5434 Å; angles 90.00, 90.00, 90.00 degrees
Sites, in units of the cell vectors:
Ge  0.0000  0.0000  0.0000
Bi  0.5000  0.5000  0.5000
As  0.0000  0.5000  0.5000
As  0.5000  0.0000  0.5000
Br  0.5000  0.5000  0.0000

Properties
* E_form (uncorrected): 0.858 eV/atom
* magnetization: 0.001 μB per atom
* space group: P4/mmm (123)



[11]
Material: CsSrHf2
Method: DFT, GGA-PBE
State: optimized geometry

Cell lengths 7.3132, 7.3132, 7.3132 Å; angles 100.25, 100.25, 130.09 degrees
Sites, in units of the cell vectors:
Cs  0.0000  0.0000  0.0000
Cs  0.7500  0.2500  0.5000
Sr  0.2500  0.7500  0.5000
Sr  0.5000  0.5000  0.0000
Hf  0.1076  0.6250  0.9826
Hf  0.3750  0.3576  0.4826
Hf  0.6424  0.1250  0.0174
Hf  0.8750  0.8924  0.5174

Properties
* E_form: 1530 meV per atom
* magnetization: 0.000 μB per atom
* space group: I-42d (122)



[12]
Material: KCaZn
Method: DFT, GGA-PBE
State: optimized geometry

Cell lengths 4.1078, 4.5650, 6.7936 Å; angles 90.00, 90.29, 90.00 degrees
Sites, in units of the cell vectors:
K  0.0000  0.0000  0.0000
Ca  0.5000  0.5000  0.5000
Zn  0.0000  0.0000  0.5000

Properties
* E_form: 77 meV per atom
* magnetization: 0.000 μB per atom
* space group: P2/m (10)



The following energy values (in eV/cell) correspond, in order, to the records above: -23.4 -37.7 -21.8 -119.7 -10.6 -126.9 -84.3 -75.2 -13.0 -15.2 -32.6 -4.1.
The following density of states at the Fermi level values (in states/eV/f.u.) correspond, in order, to the records above: 2.606 0.577 6.589 5.448 3.321 0.000 4.865 23.885 7.124 5.189 7.395 2.586.